# TiTeMo2 | Alexandria via LeMat-Bulk | PBE | optimized geometry
data_TiTeMo2
_chemical_formula_sum 'Ti4 Te4 Mo8'
_space_group_name_H-M_alt 'I -4 2 d'
_space_group_IT_number 122
_space_group_name_Hall 'I -4 2bw'
_cell_length_a 3.8473
_cell_length_b 3.8473
_cell_length_c 20.1273
_cell_angle_alpha 90.00
_cell_angle_beta 90.00
_cell_angle_gamma 90.00
loop_
_atom_site_label
_atom_site_type_symbol
_atom_site_fract_x
_atom_site_fract_y
_atom_site_fract_z
Ti1 Ti 0.0000 0.0000 0.0000
Te1 Te 0.0000 0.0000 0.5000
Mo1 Mo 0.2498 0.2500 0.1250
# Total energy   -7.723 eV/atom
# Energy relative to the elements, uncorrected   0.45 eV/atom